Entry 1:
DFT (PBE-GGA) results for an optimized crystal structure of LuPAuO.

```
LuPAuO
1.0
3.727 0.000 0.000
0.000 7.301 0.000
0.000 0.000 5.896
Lu P Au O
2 2 2 2
direct
0.000 0.214 0.000
0.000 0.786 0.500
0.000 0.162 0.502
0.000 0.838 0.002
0.500 0.357 0.510
0.500 0.643 0.010
0.500 0.333 0.009
0.500 0.667 0.509
```

Computed properties:
As for the space group: Pmc2_1 (26). The calculation puts the polymorph energy (0 for the lowest one) at 297 meV per atom. For the calculated density, the calculation gives 8.7 g/cm³.


Entry 2:
DFT (PBE-GGA) results for an optimized crystal structure of LuPAuO.

```
LuPAuO
1.0
5.557 0.000 0.000
0.000 5.557 0.000
0.000 0.000 4.567
Lu P Au O
2 2 2 2
direct
0.250 0.750 0.000
0.750 0.250 0.000
0.250 0.250 0.006
0.750 0.750 0.994
0.250 0.250 0.506
0.750 0.750 0.494
0.250 0.750 0.500
0.750 0.250 0.500
```

Computed properties:
As for the space group: P4/nmm (129). The calculation puts the polymorph energy (0 for the lowest one) at 523 meV per atom. For the calculated density, the calculation gives 9.9 g/cm³.


Entry 3:
DFT (PBE-GGA) results for an optimized crystal structure of LuPAuO.

```
LuPAuO
1.0
4.444 0.000 0.000
0.000 5.694 0.000
0.000 0.000 5.575
Lu P Au O
2 2 2 2
direct
0.000 0.237 0.000
0.000 0.763 0.500
0.500 0.055 0.720
0.500 0.945 0.220
0.500 0.362 0.382
0.500 0.638 0.882
0.000 0.459 0.298
0.000 0.541 0.798
```

Computed properties:
As for the space group: Pmc2_1 (26). The calculation puts the polymorph energy (0 for the lowest one) at 399 meV per atom. For the calculated density, the calculation gives 9.9 g/cm³.


Entry 4:
DFT (PBE-GGA) results for an optimized crystal structure of LuPbAuO3.

```
LuPbAuO3
1.0
1.853 -9.411 0.000
1.853 9.411 0.000
0.000 0.000 7.198
Lu Pb Au O
2 2 2 6
direct
0.000 0.000 0.000
0.000 0.000 0.500
0.198 0.802 0.750
0.802 0.198 0.250
0.118 0.882 0.250
0.882 0.118 0.750
0.109 0.891 0.538
0.109 0.891 0.962
0.240 0.760 0.250
0.760 0.240 0.750
0.891 0.109 0.038
0.891 0.109 0.462
```

Computed properties:
As for the space group: Cmcm (63). For the calculated density, the calculation gives 8.3 g/cm³. The value obtained for the uncorrected energy is -64.27 eV for the cell shown.


Entry 5:
DFT (PBE-GGA) results for an optimized crystal structure of LuAuSO.

```
LuAuSO
1.0
5.415 0.000 0.000
0.000 5.415 0.000
0.000 0.000 9.115
Lu Au S O
4 4 4 4
direct
0.250 0.000 0.117
0.250 0.500 0.882
0.750 0.000 0.883
0.750 0.500 0.118
0.000 0.250 0.500
0.000 0.750 0.500
0.500 0.250 0.500
0.500 0.750 0.500
0.250 0.000 0.722
0.250 0.500 0.280
0.750 0.000 0.278
0.750 0.500 0.720
0.000 0.250 0.000
0.000 0.750 0.000
0.500 0.250 0.000
0.500 0.750 0.000
```

Computed properties:
As for the space group: Pmma (51). The calculation puts the polymorph energy (0 for the lowest one) at 199 meV per atom. For the calculated density, the calculation gives 10.4 g/cm³.


Entry 6:
DFT (PBE-GGA) results for an optimized crystal structure of LuAuSO.

```
LuAuSO
1.0
5.414 0.000 0.000
0.000 5.414 0.000
0.000 0.000 9.108
Lu Au S O
4 4 4 4
direct
0.000 0.000 0.000
0.000 0.500 0.764
0.500 0.000 0.764
0.500 0.500 0.000
0.250 0.250 0.381
0.250 0.750 0.381
0.750 0.250 0.381
0.750 0.750 0.381
0.000 0.000 0.602
0.000 0.500 0.160
0.500 0.000 0.160
0.500 0.500 0.603
0.250 0.250 0.882
0.250 0.750 0.882
0.750 0.250 0.882
0.750 0.750 0.882
```

Computed properties:
As for the space group: P4mm (99). The calculation puts the polymorph energy (0 for the lowest one) at 199 meV per atom. For the calculated density, the calculation gives 10.4 g/cm³.


Entry 7:
DFT (PBE-GGA) results for an optimized crystal structure of LuAuSO.

```
LuAuSO
1.0
7.336 0.000 0.000
0.000 7.549 0.000
0.000 0.000 5.529
Lu Au S O
4 4 4 4
direct
0.044 0.200 0.000
0.456 0.200 0.500
0.544 0.800 0.000
0.956 0.800 0.500
0.156 0.686 0.009
0.344 0.686 0.509
0.656 0.314 0.009
0.844 0.314 0.509
0.097 0.129 0.499
0.403 0.129 0.999
0.597 0.871 0.499
0.903 0.871 0.999
0.085 0.569 0.517
0.415 0.569 0.017
0.585 0.431 0.517
0.915 0.431 0.017
```

Computed properties:
As for the space group: Pca2_1 (29). The calculation puts the polymorph energy (0 for the lowest one) at 635 meV per atom. For the calculated density, the calculation gives 9.1 g/cm³.


Entry 8:
DFT (PBE-GGA) results for an optimized crystal structure of LuAuSO.

```
LuAuSO
1.0
8.383 0.000 0.000
0.000 5.608 0.000
-0.325 0.000 5.621
Lu Au S O
4 4 4 4
direct
0.114 0.015 0.255
0.114 0.485 0.755
0.886 0.515 0.245
0.886 0.985 0.745
0.409 0.704 0.093
0.409 0.796 0.593
0.591 0.204 0.407
0.591 0.296 0.907
0.314 0.084 0.855
0.314 0.416 0.355
0.686 0.584 0.645
0.686 0.916 0.145
0.014 0.747 0.998
0.014 0.753 0.498
0.986 0.247 0.502
0.986 0.253 0.002
```

Computed properties:
As for the space group: P2_1/c (14). The calculation puts the polymorph energy (0 for the lowest one) at 149 meV per atom. For the calculated density, the calculation gives 10.6 g/cm³.


Entry 9:
DFT (PBE-GGA) results for an optimized crystal structure of LuAuSO.

```
LuAuSO
1.0
4.046 0.000 0.000
0.000 6.447 0.000
0.000 0.000 6.219
Lu Au S O
2 2 2 2
direct
0.000 0.182 0.000
0.000 0.818 0.500
0.500 0.297 0.615
0.500 0.703 0.115
0.500 0.345 0.209
0.500 0.655 0.709
0.000 0.080 0.684
0.000 0.920 0.184
```

Computed properties:
As for the space group: Pmc2_1 (26). The calculation puts the polymorph energy (0 for the lowest one) at 498 meV per atom. For the calculated density, the calculation gives 8.6 g/cm³.


Entry 10:
DFT (PBE-GGA) results for an optimized crystal structure of LuAuSO.

```
LuAuSO
1.0
5.369 0.000 0.000
0.000 9.134 0.000
0.000 0.000 5.495
Lu Au S O
4 4 4 4
direct
0.000 0.117 0.250
0.000 0.883 0.750
0.500 0.117 0.750
0.500 0.883 0.250
0.250 0.500 0.170
0.250 0.500 0.670
0.750 0.500 0.330
0.750 0.500 0.830
0.000 0.278 0.750
0.000 0.722 0.250
0.500 0.278 0.250
0.500 0.722 0.750
0.250 0.000 0.002
0.250 0.000 0.502
0.750 0.000 0.498
0.750 0.000 0.998
```

Computed properties:
As for the space group: Pcca (54). The calculation puts the polymorph energy (0 for the lowest one) at 89 meV per atom. For the calculated density, the calculation gives 10.4 g/cm³.


Entry 11:
DFT (PBE-GGA) results for an optimized crystal structure of LuAuSO.

```
LuAuSO
1.0
9.075 0.000 0.000
0.000 5.486 0.000
0.000 0.000 5.506
Lu Au S O
4 4 4 4
direct
0.115 0.250 0.000
0.115 0.750 0.500
0.885 0.250 0.500
0.885 0.750 0.000
0.500 0.000 0.001
0.500 0.000 0.501
0.500 0.500 0.001
0.500 0.500 0.501
0.279 0.250 0.501
0.279 0.750 0.001
0.721 0.250 0.001
0.721 0.750 0.501
0.000 0.000 0.250
0.000 0.000 0.750
0.000 0.500 0.250
0.000 0.500 0.750
```

Computed properties:
As for the space group: Aem2 (39). The calculation puts the polymorph energy (0 for the lowest one) at 80 meV per atom. For the calculated density, the calculation gives 10.2 g/cm³.


Entry 12:
DFT (PBE-GGA) results for an optimized crystal structure of LuAuSO.

```
LuAuSO
1.0
3.829 0.000 0.000
0.000 3.829 0.000
0.000 0.000 9.111
Lu Au S O
2 2 2 2
direct
0.250 0.250 0.118
0.750 0.750 0.882
0.250 0.750 0.500
0.750 0.250 0.500
0.250 0.250 0.721
0.750 0.750 0.279
0.250 0.750 0.000
0.750 0.250 0.000
```

Computed properties:
As for the space group: P4/nmm (129). The calculation puts the polymorph energy (0 for the lowest one) at 198 meV per atom. For the calculated density, the calculation gives 10.4 g/cm³.


Entry 13:
DFT (PBE-GGA) results for an optimized crystal structure of LuAuSO.

```
LuAuSO
1.0
5.530 0.000 0.000
0.000 5.522 0.000
-0.349 0.000 10.567
Lu Au S O
4 4 4 4
direct
0.005 0.000 0.096
0.494 0.001 0.903
0.506 0.501 0.097
0.995 0.500 0.904
0.003 0.022 0.726
0.316 0.276 0.503
0.684 0.776 0.497
0.997 0.522 0.274
0.297 0.229 0.285
0.303 0.317 0.722
0.697 0.817 0.278
0.703 0.729 0.715
0.249 0.249 0.002
0.252 0.750 0.000
0.748 0.250 0.000
0.751 0.749 0.998
```

Computed properties:
As for the space group: P2_1 (4). The calculation puts the polymorph energy (0 for the lowest one) at 0 meV per atom. For the calculated density, the calculation gives 8.6 g/cm³.


Entry 14:
DFT (PBE-GGA) results for an optimized crystal structure of LuAuSO.

```
LuAuSO
1.0
3.849 0.000 0.000
0.000 3.849 0.000
0.000 0.000 8.950
Lu Au S O
2 2 2 2
direct
0.250 0.250 0.119
0.750 0.750 0.881
0.250 0.750 0.500
0.750 0.250 0.500
0.250 0.250 0.722
0.750 0.750 0.278
0.250 0.750 0.000
0.750 0.250 0.000
```

Computed properties:
As for the space group: P4/nmm (129). The calculation puts the polymorph energy (0 for the lowest one) at 200 meV per atom. For the calculated density, the calculation gives 10.5 g/cm³.


Entry 15:
DFT (PBE-GGA) results for an optimized crystal structure of LuAuSO.

```
LuAuSO
1.0
5.433 0.000 0.000
0.000 9.089 0.000
0.000 0.000 5.495
Lu Au S O
4 4 4 4
direct
0.000 0.116 0.250
0.000 0.884 0.750
0.500 0.116 0.750
0.500 0.884 0.250
0.250 0.500 0.202
0.250 0.500 0.702
0.750 0.500 0.298
0.750 0.500 0.798
0.000 0.279 0.750
0.000 0.721 0.250
0.500 0.279 0.250
0.500 0.721 0.750
0.250 0.000 0.001
0.250 0.000 0.501
0.750 0.000 0.499
0.750 0.000 0.999
```

Computed properties:
As for the space group: Pcca (54). The calculation puts the polymorph energy (0 for the lowest one) at 84 meV per atom. For the calculated density, the calculation gives 10.3 g/cm³.


Entry 16:
DFT (PBE-GGA) results for an optimized crystal structure of LuAuSO.

```
LuAuSO
1.0
9.119 0.000 0.000
0.000 5.332 0.000
0.000 0.000 5.525
Lu Au S O
4 4 4 4
direct
0.116 0.001 0.250
0.116 0.499 0.750
0.884 0.501 0.250
0.884 0.999 0.750
0.433 0.250 0.000
0.433 0.250 0.500
0.567 0.750 0.000
0.567 0.750 0.500
0.285 0.543 0.250
0.285 0.957 0.750
0.715 0.043 0.250
0.715 0.457 0.750
0.002 0.250 0.000
0.002 0.250 0.500
0.998 0.750 0.000
0.998 0.750 0.500
```

Computed properties:
As for the space group: Pbcm (57). The calculation puts the polymorph energy (0 for the lowest one) at 174 meV per atom. For the calculated density, the calculation gives 10.4 g/cm³.


Entry 17:
DFT (PBE-GGA) results for an optimized crystal structure of LuAuSO.

```
LuAuSO
1.0
5.405 0.000 0.000
0.000 5.405 0.000
0.000 0.000 9.130
Lu Au S O
4 4 4 4
direct
0.000 0.000 0.000
0.000 0.500 0.236
0.500 0.000 0.236
0.500 0.500 0.000
0.182 0.318 0.612
0.318 0.818 0.612
0.682 0.182 0.612
0.818 0.682 0.612
0.000 0.000 0.401
0.000 0.500 0.843
0.500 0.000 0.843
0.500 0.500 0.401
0.249 0.251 0.119
0.251 0.751 0.119
0.749 0.249 0.119
0.751 0.749 0.119
```

Computed properties:
As for the space group: P4bm (100). The calculation puts the polymorph energy (0 for the lowest one) at 148 meV per atom. For the calculated density, the calculation gives 10.5 g/cm³.


Entry 18:
DFT (PBE-GGA) results for an optimized crystal structure of LuAuSeO.

```
LuAuSeO
1.0
3.872 0.000 0.000
0.000 3.872 0.000
0.000 0.000 9.468
Lu Au Se O
2 2 2 2
direct
0.250 0.250 0.112
0.750 0.750 0.888
0.250 0.750 0.500
0.750 0.250 0.500
0.250 0.250 0.722
0.750 0.750 0.278
0.250 0.750 0.000
0.750 0.250 0.000
```

Computed properties:
As for the space group: P4/nmm (129). The calculation puts the polymorph energy (0 for the lowest one) at 112 meV per atom. For the calculated density, the calculation gives 10.9 g/cm³.


Entry 19:
DFT (PBE-GGA) results for an optimized crystal structure of LuAuSeO.

```
LuAuSeO
1.0
19.182 0.000 0.000
0.000 2.757 2.763
0.000 -2.757 2.763
Lu Au Se O
4 4 4 4
direct
0.055 0.250 0.750
0.445 0.750 0.250
0.555 0.250 0.750
0.945 0.750 0.250
0.250 0.006 0.001
0.250 0.506 0.501
0.750 0.001 0.006
0.750 0.501 0.506
0.137 0.752 0.249
0.363 0.252 0.749
0.637 0.749 0.252
0.863 0.249 0.752
0.000 0.250 0.250
0.000 0.750 0.750
0.500 0.250 0.250
0.500 0.750 0.750
```

Computed properties:
As for the space group: Aea2 (41). The calculation puts the polymorph energy (0 for the lowest one) at 35 meV per atom. For the calculated density, the calculation gives 10.6 g/cm³.


Entry 20:
DFT (PBE-GGA) results for an optimized crystal structure of LuAuSeO.

```
LuAuSeO
1.0
5.426 0.000 0.000
0.000 9.584 0.000
0.000 0.000 5.528
Lu Au Se O
4 4 4 4
direct
0.000 0.110 0.250
0.000 0.890 0.750
0.500 0.110 0.750
0.500 0.890 0.250
0.250 0.500 0.167
0.250 0.500 0.667
0.750 0.500 0.333
0.750 0.500 0.833
0.000 0.275 0.750
0.000 0.725 0.250
0.500 0.275 0.250
0.500 0.725 0.750
0.250 0.000 0.001
0.250 0.000 0.501
0.750 0.000 0.499
0.750 0.000 0.999
```

Computed properties:
As for the space group: Pcca (54). The calculation puts the polymorph energy (0 for the lowest one) at 39 meV per atom. For the calculated density, the calculation gives 10.8 g/cm³.